[1]
Entry from Alexandria: a relaxed structure of RbAlS2 (PBE).

Cell: 3.9317 3.9317 7.9544 Å, 90.00 90.00 120.00°
Space group P3m1 (No. 156)
Inequivalent atoms, fractional coordinates:
Rb 0.0000 0.0000 0.0000 x1
Al 0.3333 0.6667 0.4824 x1
S 0.3333 0.6667 0.7445 x1
S 0.6667 0.3333 0.3544 x1

energy relative to the elements, uncorrected: -0.9017 eV per atom
total magnetic moment: 0.000 μB per atom
calculated volume: 106.5 Å³/cell
total energy: -4.14 eV/atom

[2]
Entry from Alexandria: a relaxed structure of LaIrW2 (PBE).

Cell: 3.0993 4.7595 5.1540 Å, 90.00 90.00 90.00°
Space group Pmmm (No. 47)
Inequivalent atoms, fractional coordinates:
La 0.0000 0.0000 0.0000 x1
Ir 0.5000 0.5000 0.0000 x1
W 0.0000 0.5000 0.5000 x1
W 0.5000 0.0000 0.5000 x1

ΔE_f: 209 kJ/mol of formula units
total magnetic moment: 0.000 μB per atom
calculated volume: 76.0 Å³/cell
total energy: -9.38 eV/atom

[3]
Entry from Alexandria: a relaxed structure of Si5Se (PBE).

Cell: 7.3158 7.3158 7.3158 Å, 90.00 90.00 90.00°
Space group F-43m (No. 216)
Inequivalent atoms, fractional coordinates:
Si 0.0000 0.0000 0.0000 x4
Si 0.1247 0.1247 0.6247 x16
Se 0.2500 0.2500 0.2500 x4

energy relative to the elements, uncorrected: 0.6332 eV per atom
total magnetic moment: 0.000 μB per atom
calculated volume: 391.5 Å³/cell
total energy: -4.47 eV/atom

[4]
Entry from Alexandria: a relaxed structure of Ga2Ni7GeP2 (PBE).

Cell: 4.9353 4.9538 13.2840 Å, 90.00 94.93 90.00°
Space group C2/m (No. 12)
Inequivalent atoms, fractional coordinates:
Ga 0.1193 0.0000 0.4112 x4
Ni 0.0000 0.5000 0.0000 x2
Ni 0.1081 0.5000 0.4087 x4
Ni 0.2143 0.2504 0.8580 x8
Ge 0.0000 0.0000 0.0000 x2
P 0.0601 0.5000 0.2442 x4

ΔE_f: -342 kJ/mol of formula units
total magnetic moment: 0.000 μB per atom
calculated volume: 323.6 Å³/cell
total energy: -5.46 eV/atom